HoNiPdO4 | Alexandria via LeMat-Bulk | PBE with a Hubbard U | optimized geometry; magnetic moment = 1.8 μB/f.u.; raw total energy = -6.16 eV/atom
1.0
-3.335 3.485 3.793
3.335 -3.485 3.793
3.335 3.485 -3.793
Ho Ni Pd O
2 2 2 8
Direct
0.500 0.000 0.000 Ho
0.500 0.500 0.500 Ho
0.049 0.299 0.750 Ni
0.951 0.701 0.250 Ni
0.000 0.000 0.000 Pd
0.500 0.000 0.500 Pd
0.201 0.153 0.452 O
0.201 0.748 0.048 O
0.268 0.733 0.535 O
0.302 0.267 0.035 O
0.698 0.733 0.965 O
0.732 0.267 0.465 O
0.799 0.252 0.952 O
0.799 0.847 0.548 O